Density functional theory data (GGA+U) for crystalline AlCo2F at its relaxed geometry. Values from VASP.

## Properties
For the electronic total energy, the calculation gives -14.8 eV/cell. The crystal system is cubic. The magnetization is 0.97 μB/atom.

Structure (Quantum ESPRESSO input):
```
&SYSTEM
  ibrav = 0, nat = 4, ntyp = 3
/
ATOMIC_SPECIES
Co 58.93 Co.upf
Al 26.98 Al.upf
F 19.00 F.upf
CELL_PARAMETERS angstrom
-0.4244 -4.1845 0.6530
-3.8435 -1.6528 0.7828
-1.9091 -2.4281 -2.9285
ATOMIC_POSITIONS crystal
Co 0.2500 0.2500 0.2500
Co 0.7500 0.7500 0.7500
Al 0.5000 0.5000 0.5000
F 0.0000 0.0000 0.0000
```